Here is a relaxed structure of LaVAs2Se from the Alexandria database. Energies are from PBE. Values from VASP.

Cell and atoms, written as Quantum ESPRESSO input:
```
&SYSTEM
  ibrav = 0, nat = 5, ntyp = 4
/
ATOMIC_SPECIES
V 50.94 V.upf
As 74.92 As.upf
La 138.91 La.upf
Se 78.96 Se.upf
ATOMIC_POSITIONS angstrom
V 0.0000 0.0000 0.0000
As 2.3453 0.0000 0.0000
La 2.3453 2.3453 2.6136
As 0.0000 2.3453 0.0000
Se 0.0000 0.0000 2.6136
CELL_PARAMETERS angstrom
4.6906 0.0000 0.0000
0.0000 4.6906 0.0000
0.0000 0.0000 5.2273
```

V: 23.0 Å³/atom
Excess energy over the best structure of this formula in the dataset: 0.0 meV per atom
DOS at the Fermi energy: 0.580 states/eV/atom



Here is a relaxed structure of LaAsWSe2 from the Alexandria database. Energies are from PBE. Values from VASP.

Cell and atoms, written as Quantum ESPRESSO input:
```
&SYSTEM
  ibrav = 0, nat = 5, ntyp = 4
/
ATOMIC_SPECIES
W 183.84 W.upf
Se 78.96 Se.upf
La 138.91 La.upf
As 74.92 As.upf
ATOMIC_POSITIONS angstrom
W 0.0000 0.0000 0.0000
Se -2.2906 0.9966 0.0699
La -1.8555 1.7591 3.4557
Se 0.8864 1.9467 1.2921
As -0.4513 -1.1842 2.0936
CELL_PARAMETERS angstrom
-4.5812 1.9931 0.1398
-0.9026 -2.3684 4.1873
1.7728 3.8934 2.5843
```

V: 24.5 Å³/atom
Excess energy over the best structure of this formula in the dataset: 0.0 meV per atom
DOS at the Fermi energy: 0.765 states/eV/atom



Copy entry 2 word for word.
Here is a relaxed structure of LaAsWSe2 from the Alexandria database. Energies are from PBE. Values from VASP.

Cell and atoms, written as Quantum ESPRESSO input:
```
&SYSTEM
  ibrav = 0, nat = 5, ntyp = 4
/
ATOMIC_SPECIES
W 183.84 W.upf
Se 78.96 Se.upf
La 138.91 La.upf
As 74.92 As.upf
ATOMIC_POSITIONS angstrom
W 0.0000 0.0000 0.0000
Se -2.2906 0.9966 0.0699
La -1.8555 1.7591 3.4557
Se 0.8864 1.9467 1.2921
As -0.4513 -1.1842 2.0936
CELL_PARAMETERS angstrom
-4.5812 1.9931 0.1398
-0.9026 -2.3684 4.1873
1.7728 3.8934 2.5843
```

V: 24.5 Å³/atom
Excess energy over the best structure of this formula in the dataset: 0.0 meV per atom
DOS at the Fermi energy: 0.765 states/eV/atom



> Which of these has the highest V?

LaAsWSe2